# 1
Entry from the Open Quantum Materials Database: a relaxed structure of RbErO3 (PBE-GGA).

a b c (Å): 3.2244 3.2244 7.1632
angles (deg): 90.00 90.00 90.00
Positions (direct):
Er1 0.0000 0.0000 0.9497
O1 0.5000 0.5000 0.0624
O2 0.5000 0.0000 0.7261
O3 0.0000 0.5000 0.7261
Rb1 0.5000 0.5000 0.4357

Properties
total DFT energy (no corrections)	-5.74	eV/atom



# 2
Entry from the Open Quantum Materials Database: a relaxed structure of LaGd2Mg3Ag3 (PBE-GGA).

a b c (Å): 7.7685 4.2793 13.4183
angles (deg): 90.00 90.02 90.00
Positions (direct):
Ag1 0.4916 0.5000 0.1639
Ag2 0.0113 0.5000 0.3321
Ag3 0.4954 0.0000 0.5010
Ag4 0.0031 0.5000 0.6737
Ag5 0.4983 0.5000 0.8337
Ag6 0.0016 0.0000 0.9964
Gd1 0.2953 0.0000 0.2921
Gd2 0.2954 0.0000 0.7089
Gd3 0.7896 0.0000 0.7929
Gd4 0.4144 0.0000 0.9970
La1 0.7908 0.0000 0.2064
La2 0.9159 0.0000 0.5030
Mg1 0.1255 0.5000 0.1182
Mg2 0.6143 0.5000 0.3797
Mg3 0.2616 0.5000 0.5021
Mg4 0.6173 0.5000 0.6248
Mg5 0.1228 0.5000 0.8787
Mg6 0.7561 0.5000 0.9955

Properties
total DFT energy (no corrections)	-3.32	eV/atom



# 3
Entry from the Open Quantum Materials Database: a relaxed structure of Nb2Pd2O5 (PBE-GGA).

a b c (Å): 8.7779 3.6989 3.6989
angles (deg): 90.00 90.00 90.00
Each line ends with the local moment (μB).
Positions (direct):
Nb1 0.2774 0.5000 0.5000  0.04
Nb2 0.7226 0.5000 0.5000  0.04
O1 0.1988 0.5000 0.0000  -0.01
O2 0.8012 0.5000 0.0000  -0.01
O3 0.1988 0.0000 0.5000  -0.01
O4 0.8012 0.0000 0.5000  -0.01
O5 0.5000 0.5000 0.5000  0.00
Pd1 0.0000 0.0000 0.0000  -0.25
Pd2 0.5000 0.0000 0.0000  0.01

Properties
total DFT energy (no corrections)	-7.48	eV/atom
energy above the lowest structure with this stoichiometry	0	meV per atom